# 1
VASP calculation (PBE) on a relaxed GaSiW crystal. Values from VASP.

- ΔE to the lowest computed polymorph: 0 kJ/mol of formula units

Geometry as Quantum ESPRESSO input:
```
&SYSTEM
  ibrav = 0, nat = 3, ntyp = 3
/
ATOMIC_SPECIES
Ga 69.72 Ga.upf
Si 28.09 Si.upf
W 183.84 W.upf
CELL_PARAMETERS angstrom
0.9749 -3.1306 -2.5180
0.6777 -3.7699 1.5557
-2.7246 -3.0352 -0.6751
ATOMIC_POSITIONS angstrom
Ga -0.2680 -2.4839 -0.4093
Si 0.0000 0.0000 0.0000
W -0.8040 -7.4518 -1.2280
```

***

# 2
VASP calculation (PBE) on a relaxed PrHoSc2Sb2 crystal. Values from VASP.

- Raw total energy: -5.88 eV/atom

Geometry as Quantum ESPRESSO input:
```
&SYSTEM
  ibrav = 0, nat = 6, ntyp = 4
/
ATOMIC_SPECIES
Ho 164.93 Ho.upf
Pr 140.91 Pr.upf
Sb 121.76 Sb.upf
Sc 44.96 Sc.upf
CELL_PARAMETERS angstrom
-2.2056 2.2056 8.2227
2.2056 -2.2056 8.2227
2.2056 2.2056 -8.2227
ATOMIC_POSITIONS angstrom
Ho 0.0000 0.0000 11.0942
Pr 0.0000 0.0000 5.3128
Sb 0.0000 0.0000 2.1090
Sb 0.0000 0.0000 14.3373
Sc 0.0000 2.2056 0.0187
Sc 2.2056 0.0000 0.0187
```

***

# 3
VASP calculation (PBE) on a relaxed SmYHo crystal. Values from VASP.

- ΔE to the lowest computed polymorph: 0 kJ/mol of formula units
- Formation enthalpy at 0 K: 716 meV per atom

Geometry as Quantum ESPRESSO input:
```
&SYSTEM
  ibrav = 0, nat = 3, ntyp = 3
/
ATOMIC_SPECIES
Ho 164.93 Ho.upf
Sm 150.36 Sm.upf
Y 88.91 Y.upf
CELL_PARAMETERS angstrom
0.4428 -5.3672 0.8208
-2.9953 -2.4228 3.8517
-4.0845 -3.3173 -1.4105
ATOMIC_POSITIONS angstrom
Ho 0.0000 0.0000 0.0000
Sm -1.6592 -2.7768 0.8155
Y -4.9777 -8.3305 2.4465
```

***

> What is the formula in the third record?

SmYHo

***

> What is the formula in the third record?

SmYHo

***

Please write out number 2 again, unchanged.
VASP calculation (PBE) on a relaxed PrHoSc2Sb2 crystal. Values from VASP.

- Raw total energy: -5.88 eV/atom

Geometry as Quantum ESPRESSO input:
```
&SYSTEM
  ibrav = 0, nat = 6, ntyp = 4
/
ATOMIC_SPECIES
Ho 164.93 Ho.upf
Pr 140.91 Pr.upf
Sb 121.76 Sb.upf
Sc 44.96 Sc.upf
CELL_PARAMETERS angstrom
-2.2056 2.2056 8.2227
2.2056 -2.2056 8.2227
2.2056 2.2056 -8.2227
ATOMIC_POSITIONS angstrom
Ho 0.0000 0.0000 11.0942
Pr 0.0000 0.0000 5.3128
Sb 0.0000 0.0000 2.1090
Sb 0.0000 0.0000 14.3373
Sc 0.0000 2.2056 0.0187
Sc 2.2056 0.0000 0.0187
```